# 1
Material: HfMgAsO
Method: DFT, PBE-GGA
State: optimized geometry Values from VASP.

Cell and atoms, written as Quantum ESPRESSO input:
```
&SYSTEM
  ibrav = 0, nat = 8, ntyp = 4
/
ATOMIC_SPECIES
As 74.92 As.upf
Hf 178.49 Hf.upf
Mg 24.30 Mg.upf
O 16.00 O.upf
ATOMIC_POSITIONS crystal
As 0.000 0.216 0.376
As 0.000 0.784 0.876
Hf 0.000 0.661 0.376
Hf 0.000 0.339 0.876
Mg 0.500 0.000 0.126
Mg 0.500 0.000 0.626
O 0.500 0.751 0.376
O 0.500 0.249 0.876
CELL_PARAMETERS angstrom
-2.999 -2.625 -0.413
3.288 -3.128 -3.993
2.110 -3.061 4.136
```

Calculated values
**Total DFT energy (no corrections)**: -6.8728 eV/atom
**E above lowest polymorph**: 39 meV/atom
**Space group**: Pmma
**Crystal system**: orthorhombic

# 2
Material: GdZnCd
Method: DFT, PBE-GGA
State: optimized geometry Values from VASP.

Cell and atoms, written as Quantum ESPRESSO input:
```
&SYSTEM
  ibrav = 0, nat = 3, ntyp = 3
/
ATOMIC_SPECIES
Cd 112.41 Cd.upf
Gd 157.25 Gd.upf
Zn 65.41 Zn.upf
ATOMIC_POSITIONS crystal
Cd 0.250 0.250 0.250
Gd 0.750 0.750 0.750
Zn 0.000 0.000 0.000
CELL_PARAMETERS angstrom
0.000 3.310 3.310
3.310 0.000 3.310
3.310 3.310 0.000
```

Calculated values
**Formation enthalpy at 0 K**: -0.191 eV/atom
**Total DFT energy (no corrections)**: -2.4623 eV/atom
**Space group**: F-43m
**Crystal system**: cubic

# 3
Material: HoErAl2
Method: DFT, PBE-GGA
State: optimized geometry Values from VASP.

Cell and atoms, written as Quantum ESPRESSO input:
```
&SYSTEM
  ibrav = 0, nat = 8, ntyp = 3
/
ATOMIC_SPECIES
Al 26.98 Al.upf
Er 167.26 Er.upf
Ho 164.93 Ho.upf
ATOMIC_POSITIONS crystal
Al 0.750 0.853 0.159
Al 0.750 0.302 0.183
Al 0.250 0.183 0.302
Al 0.250 0.159 0.853
Er 0.750 0.823 0.673
Er 0.250 0.673 0.823
Ho 0.250 0.698 0.309
Ho 0.750 0.309 0.698
CELL_PARAMETERS angstrom
5.069 0.000 0.000
0.000 5.977 3.083
0.000 -5.977 3.083
```

Calculated values
**Total DFT energy (no corrections)**: -4.3427 eV/atom
**E above lowest polymorph**: 207 meV/atom
**Space group**: Ama2
**Crystal system**: orthorhombic

# 4
Material: PrSiB
Method: DFT, PBE-GGA
State: optimized geometry Values from VASP.

Cell and atoms, written as Quantum ESPRESSO input:
```
&SYSTEM
  ibrav = 0, nat = 3, ntyp = 3
/
ATOMIC_SPECIES
B 10.81 B.upf
Pr 140.91 Pr.upf
Si 28.09 Si.upf
ATOMIC_POSITIONS crystal
B 0.000 0.000 0.000
Pr 0.250 0.250 0.250
Si 0.750 0.750 0.750
CELL_PARAMETERS angstrom
3.124 -2.710 1.146
0.408 -1.192 4.102
-0.965 -4.013 1.175
```

Calculated values
**Total DFT energy (no corrections)**: -5.3891 eV/atom
**E above lowest polymorph**: 0 meV/atom
**Space group**: F-43m
**Crystal system**: cubic

# 5
Material: RbCuPbSeS2
Method: DFT, PBE-GGA
State: optimized geometry Values from VASP.

Cell and atoms, written as Quantum ESPRESSO input:
```
&SYSTEM
  ibrav = 0, nat = 12, ntyp = 5
/
ATOMIC_SPECIES
Cu 63.55 Cu.upf
Pb 207.20 Pb.upf
Rb 85.47 Rb.upf
S 32.06 S.upf
Se 78.96 Se.upf
ATOMIC_POSITIONS crystal
Cu 0.045 0.955 0.250
Cu 0.955 0.045 0.750
Pb 0.500 0.500 0.000
Pb 0.500 0.500 0.500
Rb 0.752 0.248 0.250
Rb 0.248 0.752 0.750
S 0.117 0.883 0.074
S 0.117 0.883 0.426
S 0.883 0.117 0.574
S 0.883 0.117 0.926
Se 0.445 0.555 0.250
Se 0.555 0.445 0.750
CELL_PARAMETERS angstrom
-4.842 6.154 0.058
1.264 -7.670 -0.950
-2.018 -1.691 10.970
```

Calculated values
**Total DFT energy (no corrections)**: -3.8009 eV/atom
**Space group**: Cmcm
**Crystal system**: orthorhombic

# 6
Material: GaFeCuTe
Method: DFT, PBE-GGA
State: optimized geometry Values from VASP.

Cell and atoms, written as Quantum ESPRESSO input:
```
&SYSTEM
  ibrav = 0, nat = 4, ntyp = 4
/
ATOMIC_SPECIES
Cu 63.55 Cu.upf
Fe 55.84 Fe.upf
Ga 69.72 Ga.upf
Te 127.60 Te.upf
ATOMIC_POSITIONS crystal
Cu 0.750 0.750 0.750
Fe 0.250 0.250 0.250
Ga 0.000 0.000 0.000
Te 0.500 0.500 0.500
CELL_PARAMETERS angstrom
0.000 3.218 3.218
3.218 0.000 3.218
3.218 3.218 0.000
```

Calculated values
**Total DFT energy (no corrections)**: -4.2012 eV/atom
**E above lowest polymorph**: 0 meV/atom
**Space group**: F-43m
**Crystal system**: cubic

# 7
Material: DyBeNO
Method: DFT, PBE-GGA
State: optimized geometry Values from VASP.

Cell and atoms, written as Quantum ESPRESSO input:
```
&SYSTEM
  ibrav = 0, nat = 8, ntyp = 4
/
ATOMIC_SPECIES
Be 9.01 Be.upf
Dy 162.50 Dy.upf
N 14.01 N.upf
O 16.00 O.upf
ATOMIC_POSITIONS crystal
Be 0.000 0.499 0.300
Be 0.000 0.999 0.700
Dy 0.500 0.027 0.283
Dy 0.500 0.527 0.717
N 0.000 0.768 0.469
N 0.000 0.268 0.531
O 0.500 0.460 0.142
O 0.500 0.960 0.858
CELL_PARAMETERS angstrom
0.720 2.548 -1.806
-3.514 2.914 2.711
3.703 1.336 3.363
```

Calculated values
**Total DFT energy (no corrections)**: -7.4444 eV/atom
**E above lowest polymorph**: 107 meV/atom
**Space group**: Pmc2_1
**Crystal system**: orthorhombic

# 8
Material: La2Ir2W3
Method: DFT, PBE-GGA
State: optimized geometry Values from VASP.

Cell and atoms, written as Quantum ESPRESSO input:
```
&SYSTEM
  ibrav = 0, nat = 7, ntyp = 3
/
ATOMIC_SPECIES
Ir 192.22 Ir.upf
La 138.91 La.upf
W 183.84 W.upf
ATOMIC_POSITIONS crystal
Ir 0.024 0.024 0.024
Ir 0.511 0.511 0.511
La 0.198 0.198 0.198
La 0.764 0.764 0.764
W 0.331 0.331 0.331
W 0.624 0.624 0.624
W 0.923 0.923 0.923
CELL_PARAMETERS angstrom
-6.960 3.782 3.782
-3.782 3.782 6.960
-3.782 6.960 3.782
```

Calculated values
**Formation enthalpy at 0 K**: 0.109 eV/atom
**Total DFT energy (no corrections)**: -9.3814 eV/atom
**Space group**: R3m
**Crystal system**: trigonal

What is the formula in the seventh record?
DyBeNO

What did the fourth record say?
Material: PrSiB
Method: DFT, PBE-GGA
State: optimized geometry Values from VASP.

Cell and atoms, written as Quantum ESPRESSO input:
```
&SYSTEM
  ibrav = 0, nat = 3, ntyp = 3
/
ATOMIC_SPECIES
B 10.81 B.upf
Pr 140.91 Pr.upf
Si 28.09 Si.upf
ATOMIC_POSITIONS crystal
B 0.000 0.000 0.000
Pr 0.250 0.250 0.250
Si 0.750 0.750 0.750
CELL_PARAMETERS angstrom
3.124 -2.710 1.146
0.408 -1.192 4.102
-0.965 -4.013 1.175
```

Calculated values
**Total DFT energy (no corrections)**: -5.3891 eV/atom
**E above lowest polymorph**: 0 meV/atom
**Space group**: F-43m
**Crystal system**: cubic